A relaxed structure of AlPtPb2O6, computed with PBE.

abc: 5.6055 5.6055 28.7506
angles: 90.00 90.00 120.00
Closest atoms and distances in Å follow each position.
Space group R-3m (No. 166, hexagonal axes)
Unique sites:
Al  0.0000  0.0000  0.0938 (multiplicity 6)  6 O 1.88-1.98
Pt  0.0000  0.0000  0.0000 (multiplicity 3)  6 O 2.02
Pt  0.0000  0.0000  0.5000 (multiplicity 3)  6 O 2.00
Pb  0.0000  0.0000  0.2238 (multiplicity 6)  3 O 2.50
Pb  0.0000  0.0000  0.3810 (multiplicity 6)  9 O 2.70-2.81
O  0.0087  0.5043  0.2092 (multiplicity 18)  1 Al 1.88, 1 Pt 2.00
O  0.0290  0.5145  0.6188 (multiplicity 18)  1 Al 1.98, 1 Pt 2.02

formation energy from raw total energies	-1.2194	eV per atom

***

A relaxed structure of Tm2ZnGe3Ir4, computed with PBE.

abc: 4.1225 4.1225 10.4976
angles: 90.00 90.00 90.00
Closest atoms and distances in Å follow each position.
Space group P-4m2 (No. 115)
Unique sites:
Tm  0.0000  0.5000  0.2459 (multiplicity 2)  6 Ge 3.15-3.37, 8 Ir 3.15-3.30, 2 Zn 3.37
Zn  0.0000  0.0000  0.5000 (multiplicity 1)  4 Ir 2.53
Ge  0.0000  0.5000  0.8685 (multiplicity 2)  5 Ir 2.40-2.48
Ge  0.5000  0.5000  0.5000 (multiplicity 1)  4 Ir 2.53
Ir  0.0000  0.0000  0.0000 (multiplicity 1)  4 Ge 2.48
Ir  0.0000  0.5000  0.6396 (multiplicity 2)  3 Ge 2.40-2.53, 2 Zn 2.53
Ir  0.5000  0.5000  0.0000 (multiplicity 1)  4 Ge 2.48

energy of formation from the pure elements	-0.690	eV per atom

***

A relaxed structure of TlP2S, computed with PBE.

abc: 5.3168 5.3168 13.6803
angles: 90.00 90.00 90.00
Closest atoms and distances in Å follow each position.
Space group I-42d (No. 122)
Unique sites:
Tl  0.0000  0.0000  0.0000 (multiplicity 4)  4 P 2.76
P  0.1776  0.2500  0.6250 (multiplicity 8)  2 S 2.36
S  0.0000  0.0000  0.5000 (multiplicity 4)  4 P 2.36

formation energy from raw total energies	0.4928	eV per atom
offset from the most stable computed form	0	meV/atom

***

A relaxed structure of LiY2Pb5, computed with PBE.

abc: 6.8216 13.2869 4.8277
angles: 90.00 90.00 90.00
Closest atoms and distances in Å follow each position.
Space group Pbam (No. 55)
Unique sites:
Li  0.0000  0.0000  0.0000 (multiplicity 2)  8 Pb 3.13-3.41
Y  0.2008  0.3618  0.5000 (multiplicity 4)  10 Pb 3.28-3.44, 2 Li 3.66
Pb  0.0000  0.5000  0.0000 (multiplicity 2)  4 Y 3.33, 2 Li 3.41, 6 Pb 3.46-3.47
Pb  0.0409  0.7596  0.0000 (multiplicity 4)  1 Li 3.21, 4 Y 3.28-3.34, 5 Pb 3.42-3.46
Pb  0.2016  0.1077  0.5000 (multiplicity 4)  2 Li 3.13, 4 Y 3.34-3.44, 4 Pb 3.42-3.47

energy of formation from the pure elements	-0.360	eV per atom

***

A relaxed structure of GaAg3Rh, computed with PBE.

abc: 5.0710 5.0710 5.0710
angles: 90.00 90.00 90.00
Closest atoms and distances in Å follow each position.
Space group Pm-3m (No. 221)
Unique sites:
Ga  0.0000  0.0000  0.0000 (multiplicity 1)  12 Ag 3.59
Ag  0.0000  0.5000  0.5000 (multiplicity 3)  2 Rh 2.54
Rh  0.5000  0.5000  0.5000 (multiplicity 1)  6 Ag 2.54

energy of formation from the pure elements	0.929	eV per atom
offset from the most stable computed form	80	meV/atom

***

A relaxed structure of KLi2CdGa, computed with PBE.

abc: 5.2706 5.2706 5.0610
angles: 90.00 90.00 90.00
Closest atoms and distances in Å follow each position.
Space group P4/mmm (No. 123)
Unique sites:
K  0.0000  0.0000  0.0000 (multiplicity 1)  8 Li 3.65, 4 Cd 3.73
Li  0.0000  0.5000  0.5000 (multiplicity 2)  2 Ga 2.64
Cd  0.5000  0.5000  0.0000 (multiplicity 1)  2 Ga 2.53
Ga  0.5000  0.5000  0.5000 (multiplicity 1)  2 Cd 2.53, 4 Li 2.64

energy of formation from the pure elements	-0.035	eV per atom